Record 1
DFT (PBE-GGA) results for a geometry-optimized TcNCl3 structure.

Summary:
* offset from the most stable computed form: 1673.9 meV/atom
* magnetic moment: 4.7 μB/f.u.
* ΔE_f (raw): 1.31 eV/atom
* VASP energy: -17.7 eV per cell

The structure in CIF format:
```
data_TcNCl3
_chemical_formula_sum 'Tc1 N1 Cl3'
_cell_length_a 4.485
_cell_length_b 4.485
_cell_length_c 4.485
_cell_angle_alpha 90.00
_cell_angle_beta 90.00
_cell_angle_gamma 90.00
_space_group_name_H-M_alt 'P 1'
_space_group_IT_number 1
_space_group_name_Hall 'P 1'
loop_
_atom_site_label
_atom_site_type_symbol
_atom_site_fract_x
_atom_site_fract_y
_atom_site_fract_z
_atom_site_occupancy
Tc1 Tc 0.500 0.500 0.500 1
Cl1 Cl 0.500 0.000 0.000 1
N1 N 0.000 0.000 0.000 1
Cl2 Cl 0.000 0.500 0.000 1
Cl3 Cl 0.000 0.000 0.500 1
```


Record 2
DFT (PBE-GGA) results for a geometry-optimized RbSrZnBr5 structure.

Summary:
* magnetic moment: 0.0 μB/f.u.
* ΔE_f (raw): -1.57 eV/atom
* VASP energy: -49.7 eV per cell

The structure in CIF format:
```
data_RbSrZnBr5
_chemical_formula_sum 'Rb2 Sr2 Zn2 Br10'
_cell_length_a 8.163
_cell_length_b 8.163
_cell_length_c 10.792
_cell_angle_alpha 104.20
_cell_angle_beta 104.20
_cell_angle_gamma 105.78
_space_group_name_H-M_alt 'P 1'
_space_group_IT_number 1
_space_group_name_Hall 'P 1'
loop_
_atom_site_label
_atom_site_type_symbol
_atom_site_fract_x
_atom_site_fract_y
_atom_site_fract_z
_atom_site_occupancy
Br1 Br 0.601 0.745 0.928 1
Zn1 Zn 0.685 0.315 0.250 1
Rb1 Rb 0.648 0.352 0.750 1
Br2 Br 0.399 0.255 0.072 1
Br3 Br 0.906 0.094 0.750 1
Br4 Br 0.092 0.667 0.867 1
Br5 Br 0.255 0.399 0.572 1
Br6 Br 0.667 0.092 0.367 1
Sr1 Sr 0.000 0.000 0.500 1
Sr2 Sr 0.000 0.000 0.000 1
Br7 Br 0.908 0.333 0.133 1
Br8 Br 0.745 0.601 0.428 1
Br9 Br 0.333 0.908 0.633 1
Br10 Br 0.094 0.906 0.250 1
Zn2 Zn 0.315 0.685 0.750 1
Rb2 Rb 0.352 0.648 0.250 1
```


Record 3
DFT (PBE-GGA) results for a geometry-optimized Pr4Nd2DyMg structure.

Summary:
* magnetic moment: 0.0 μB/f.u.
* VASP energy: -34.8 eV per cell
* ΔH_f (0 K): 0.003 eV per atom

The structure in CIF format:
```
data_Pr4Nd2DyMg
_chemical_formula_sum 'Pr4 Nd2 Dy1 Mg1'
_cell_length_a 5.119
_cell_length_b 5.121
_cell_length_c 11.472
_cell_angle_alpha 63.49
_cell_angle_beta 90.00
_cell_angle_gamma 90.00
_space_group_name_H-M_alt 'P 1'
_space_group_IT_number 1
_space_group_name_Hall 'P 1'
loop_
_atom_site_label
_atom_site_type_symbol
_atom_site_fract_x
_atom_site_fract_y
_atom_site_fract_z
_atom_site_occupancy
Nd1 Nd 0.500 0.000 0.500 1
Dy1 Dy 0.000 0.500 0.500 1
Pr1 Pr 0.500 0.752 0.248 1
Mg1 Mg 0.500 0.500 0.000 1
Pr2 Pr 0.500 0.248 0.752 1
Pr3 Pr 0.000 0.253 0.247 1
Nd2 Nd 0.000 0.000 0.000 1
Pr4 Pr 0.000 0.747 0.753 1
```


Record 4
DFT (PBE-GGA) results for a geometry-optimized Tm3Ge4Pd7 structure.

Summary:
* magnetic moment: 0.0 μB/f.u.
* VASP energy: -80.0 eV per cell
* ΔH_f (0 K): -0.844 eV per atom

The structure in CIF format:
```
data_Tm3Ge4Pd7
_chemical_formula_sum 'Tm3 Ge4 Pd7'
_cell_length_a 4.076
_cell_length_b 8.063
_cell_length_c 8.391
_cell_angle_alpha 70.86
_cell_angle_beta 75.94
_cell_angle_gamma 75.36
_space_group_name_H-M_alt 'P 1'
_space_group_IT_number 1
_space_group_name_Hall 'P 1'
loop_
_atom_site_label
_atom_site_type_symbol
_atom_site_fract_x
_atom_site_fract_y
_atom_site_fract_z
_atom_site_occupancy
Tm1 Tm 0.674 0.822 0.830 1
Ge1 Ge 0.109 0.109 0.674 1
Pd1 Pd 0.693 0.145 0.469 1
Pd2 Pd 0.830 0.412 0.927 1
Pd3 Pd 0.489 0.234 0.788 1
Ge2 Ge 0.337 0.564 0.761 1
Ge3 Ge 0.891 0.891 0.326 1
Tm2 Tm 0.000 0.500 0.500 1
Pd4 Pd 0.170 0.588 0.073 1
Tm3 Tm 0.326 0.178 0.170 1
Pd5 Pd 0.307 0.855 0.531 1
Pd6 Pd 0.511 0.766 0.212 1
Ge4 Ge 0.663 0.436 0.239 1
Pd7 Pd 0.000 0.000 0.000 1
```


Record 5
DFT (PBE-GGA) results for a geometry-optimized Li2LaZr structure.

Summary:
* offset from the most stable computed form: 87.8 meV/atom
* magnetic moment: 0.0 μB/f.u.
* VASP energy: -16.3 eV per cell
* ΔH_f (0 K): 0.242 eV per atom

The structure in CIF format:
```
data_Li2LaZr
_chemical_formula_sum 'Li2 La1 Zr1'
_cell_length_a 5.764
_cell_length_b 5.764
_cell_length_c 5.580
_cell_angle_alpha 80.65
_cell_angle_beta 80.65
_cell_angle_gamma 32.58
_space_group_name_H-M_alt 'P 1'
_space_group_IT_number 1
_space_group_name_Hall 'P 1'
loop_
_atom_site_label
_atom_site_type_symbol
_atom_site_fract_x
_atom_site_fract_y
_atom_site_fract_z
_atom_site_occupancy
La1 La 0.250 0.250 0.250 1
Zr1 Zr 0.750 0.750 0.750 1
Li1 Li 0.008 0.008 0.966 1
Li2 Li 0.492 0.492 0.534 1
```


Record 6
DFT (PBE-GGA) results for a geometry-optimized Zn2IrPb structure.

Summary:
* magnetic moment: 0.0 μB/f.u.
* VASP energy: -13.9 eV per cell
* ΔH_f (0 K): 0.292 eV per atom

The structure in CIF format:
```
data_Zn2IrPb
_chemical_formula_sum 'Zn2 Ir1 Pb1'
_cell_length_a 4.150
_cell_length_b 4.107
_cell_length_c 4.107
_cell_angle_alpha 90.00
_cell_angle_beta 90.00
_cell_angle_gamma 90.00
_space_group_name_H-M_alt 'P 1'
_space_group_IT_number 1
_space_group_name_Hall 'P 1'
loop_
_atom_site_label
_atom_site_type_symbol
_atom_site_fract_x
_atom_site_fract_y
_atom_site_fract_z
_atom_site_occupancy
Ir1 Ir 0.500 0.500 0.000 1
Zn1 Zn 0.000 0.000 0.000 1
Pb1 Pb 0.500 0.000 0.500 1
Zn2 Zn 0.000 0.500 0.500 1
```